First-principles (GGA-PBE) data for crystalline Ti2FeAg at its relaxed geometry, as listed in Alexandria.

Properties
For the energy relative to the lowest polymorph listed for this composition, the calculation gives 0.457 eV/atom. The calculation puts the density of states at the Fermi level at 4.22 states/eV/f.u. As for the symmetry: No. 122. For the total magnetization, the calculation gives 1.073 μB per formula unit. The total DFT energy (no corrections) comes out at -51.673 eV per cell. The formation energy from the elements comes out at 0.3168 eV/atom.

Cell lengths 5.579, 5.579, 5.579 Å; angles 103.81, 103.81, 121.50 degrees
Positions (direct):
Ti 0.078 0.625 0.953
Ti 0.375 0.328 0.453
Ti 0.672 0.125 0.047
Ti 0.875 0.922 0.547
Fe 0.000 0.000 0.000
Fe 0.750 0.250 0.500
Ag 0.250 0.750 0.500
Ag 0.500 0.500 0.000